First-principles (PBE) data for a relaxed structure of PrHo3Rh, as listed in Alexandria.

abc: 5.410 5.410 5.410
angles: 90.00 90.00 90.00
Each line ends with the local moment (μB).
Atoms (fractional coordinates):
Pr1 0.500 0.500 0.500  0.09
Rh1 0.000 0.000 0.000  0.01
Ho1 0.000 0.500 0.000  0.04
Ho2 0.000 0.000 0.500  0.04
Ho3 0.500 0.000 0.000  0.04

## Properties
- uncorrected energy (eV/atom) = -5.445
- SG = Pm-3m (221)
- formation enthalpy at 0 K (eV per atom) = -0.27
- total moment (μB per formula unit) = 0.35
- calculated volume (Å³/cell) = 158.4
- offset from the most stable computed form (meV per atom) = 27.6
- DOS at the Fermi energy (states/eV per cell) = 8.20